First-principles (PBE with a Hubbard U) data for a relaxed NiSe2NO crystal, as listed in Alexandria.

Output
For the size of the total moment, the calculation gives 0.00 μB per formula unit. As for the volume: 76.27 Å³ per cell. The value obtained for the energy above the most stable polymorph in this dataset is 0.0000 eV per atom.

Cell lengths 4.789, 4.789, 3.325 Å; angles 90.00, 90.00, 90.00 degrees
Space group P4/mmm (No. 123)
Inequivalent atoms, fractional coordinates:
1 Ni 0.000 0.000 0.000 x1
2 Se 0.000 0.500 0.000 x2
3 N 0.000 0.000 0.500 x1
4 O 0.500 0.500 0.500 x1